Density functional theory data (PBE) for a relaxed GaAsAuC crystal.

Calculated values
E above lowest polymorph = 1.616 eV per formula unit
VASP energy = -4.35 eV per atom
DOS(E_F) = 0.1777 states/eV per atom

Lattice parameters (Å, degrees): 10.006 2.905 5.302 90.00 94.74 90.00
Space group Cm (No. 8)
One atom of each set of equivalent atoms:
Ga1 0.000 0.000 0.000 (multiplicity 2)
As1 0.190 0.500 0.300 (multiplicity 2)
Au1 0.449 0.000 0.587 (multiplicity 2)
C1 0.386 0.500 0.299 (multiplicity 2)